# 1
## SrTaF3 (PBE)

Data for a geometry-optimized SrTaF3 structure.

Final energy (eV/atom): -5.249
ΔE to the lowest computed polymorph (eV/atom): 0.3507
D(E_F) (states/eV/cell): 11.456
Uncorrected formation energy (meV/atom): -1419
Total magnetic moment (Bohr magnetons per cell): 3.905

Structure (CIF):
```
data_SrTaF3
_cell_length_a 4.717
_cell_length_b 4.717
_cell_length_c 4.717
_cell_angle_alpha 90.00
_cell_angle_beta 90.00
_cell_angle_gamma 90.00
_space_group_name_H-M_alt 'P m -3 m'
_space_group_IT_number 221
_space_group_name_Hall '-P 4 2 3'
loop_
_atom_site_label
_atom_site_fract_x
_atom_site_fract_y
_atom_site_fract_z
Sr1 0.000 0.000 0.000
Ta1 0.500 0.500 0.500
F1 0.000 0.000 0.500
```

***

# 2
## Sr2TbF6 (PBE)

Data for a geometry-optimized Sr2TbF6 structure.

Final energy (eV/atom): -5.823
D(E_F) (states/eV/cell): 3.217
Uncorrected formation energy (meV/atom): -3687
Total magnetic moment (Bohr magnetons per cell): 0.826

Structure (CIF):
```
data_Sr2TbF6
_cell_length_a 5.411
_cell_length_b 5.411
_cell_length_c 11.818
_cell_angle_alpha 90.00
_cell_angle_beta 90.00
_cell_angle_gamma 90.00
_space_group_name_H-M_alt 'P 42/m n m'
_space_group_IT_number 136
_space_group_name_Hall '-P 4n 2n'
loop_
_atom_site_label
_atom_site_fract_x
_atom_site_fract_y
_atom_site_fract_z
Sr1 0.000 0.000 0.163
Tb1 0.000 0.000 0.500
F1 0.176 0.176 0.339
F2 0.208 0.208 0.000
```

***

# 3
## SrTbF5 (PBE)

Data for a geometry-optimized SrTbF5 structure.

Final energy (eV/atom): -6.305
D(E_F) (states/eV/cell): 0.000
Uncorrected formation energy (meV/atom): -4067
Total magnetic moment (Bohr magnetons per cell): 0.003

Structure (CIF):
```
data_SrTbF5
_cell_length_a 4.328
_cell_length_b 15.911
_cell_length_c 5.796
_cell_angle_alpha 90.00
_cell_angle_beta 93.36
_cell_angle_gamma 90.00
_space_group_name_H-M_alt 'C 1 2/c 1'
_space_group_IT_number 15
_space_group_name_Hall '-C 2yc'
loop_
_atom_site_label
_atom_site_fract_x
_atom_site_fract_y
_atom_site_fract_z
Sr1 0.000 0.178 0.250
Tb1 0.000 0.424 0.250
F1 0.000 0.123 0.750
F2 0.008 0.311 0.002
F3 0.233 0.461 0.603
```

***

# 4
## SrTcF6 (PBE)

Data for a geometry-optimized SrTcF6 structure.

Final energy (eV/atom): -5.729
ΔE to the lowest computed polymorph (eV/atom): 0.0000
D(E_F) (states/eV/cell): 0.000
Uncorrected formation energy (meV/atom): -2819
Total magnetic moment (Bohr magnetons per cell): 6.000

Structure (CIF):
```
data_SrTcF6
_cell_length_a 6.118
_cell_length_b 7.717
_cell_length_c 5.025
_cell_angle_alpha 90.00
_cell_angle_beta 100.26
_cell_angle_gamma 90.00
_space_group_name_H-M_alt 'C 1 2/m 1'
_space_group_IT_number 12
_space_group_name_Hall '-C 2y'
loop_
_atom_site_label
_atom_site_fract_x
_atom_site_fract_y
_atom_site_fract_z
Sr1 0.000 0.000 0.000
Tc1 0.000 0.500 0.500
F1 0.132 0.331 0.776
F2 0.215 0.000 0.624
```

***

# 5
## SrTcF2 (PBE)

Data for a geometry-optimized SrTcF2 structure.

Final energy (eV/atom): -5.005
ΔE to the lowest computed polymorph (eV/atom): 0.5138
D(E_F) (states/eV/cell): 12.054
Uncorrected formation energy (meV/atom): -1057
Total magnetic moment (Bohr magnetons per cell): 13.788

Structure (CIF):
```
data_SrTcF2
_cell_length_a 6.434
_cell_length_b 6.434
_cell_length_c 6.434
_cell_angle_alpha 90.00
_cell_angle_beta 90.00
_cell_angle_gamma 90.00
_space_group_name_H-M_alt 'F m -3 m'
_space_group_IT_number 225
_space_group_name_Hall '-F 4 2 3'
loop_
_atom_site_label
_atom_site_fract_x
_atom_site_fract_y
_atom_site_fract_z
Sr1 0.000 0.000 0.000
Tc1 0.000 0.000 0.500
F1 0.250 0.250 0.250
```

***

# 6
## SrTcF2 (PBE)

Data for a geometry-optimized SrTcF2 structure.

Final energy (eV/atom): -5.519
ΔE to the lowest computed polymorph (eV/atom): 0.0000
D(E_F) (states/eV/cell): 4.743
Uncorrected formation energy (meV/atom): -1571
Total magnetic moment (Bohr magnetons per cell): 9.000

Structure (CIF):
```
data_SrTcF2
_cell_length_a 4.0094
_cell_length_b 4.0094
_cell_length_c 17.4381
_cell_angle_alpha 90.00
_cell_angle_beta 90.00
_cell_angle_gamma 120.00
_space_group_name_H-M_alt 'R -3 m'
_space_group_IT_number 166
_space_group_name_Hall '-R 3 2"'
loop_
_atom_site_label
_atom_site_fract_x
_atom_site_fract_y
_atom_site_fract_z
Sr1 0.0000 0.0000 0.0000
Tc1 0.0000 0.0000 0.5000
F1 0.0000 0.0000 0.3789
```

***

# 7
## Sr3TcF (PBE)

Data for a geometry-optimized Sr3TcF structure.

Final energy (eV/atom): -3.957
ΔE to the lowest computed polymorph (eV/atom): 0.0000
D(E_F) (states/eV/cell): 5.289
Uncorrected formation energy (meV/atom): -500
Total magnetic moment (Bohr magnetons per cell): 1.552

Structure (CIF):
```
data_Sr3TcF
_cell_length_a 5.176
_cell_length_b 5.176
_cell_length_c 5.176
_cell_angle_alpha 90.00
_cell_angle_beta 90.00
_cell_angle_gamma 90.00
_space_group_name_H-M_alt 'P m -3 m'
_space_group_IT_number 221
_space_group_name_Hall '-P 4 2 3'
loop_
_atom_site_label
_atom_site_fract_x
_atom_site_fract_y
_atom_site_fract_z
Sr1 0.000 0.000 0.500
Tc1 0.500 0.500 0.500
F1 0.000 0.000 0.000
```

***

# 8
## SrTcF6 (PBE)

Data for a geometry-optimized SrTcF6 structure.

Final energy (eV/atom): -5.593
ΔE to the lowest computed polymorph (eV/atom): 0.1352
Uncorrected formation energy (meV/atom): -2684
Total magnetic moment (Bohr magnetons per cell): 9.000

Structure (CIF):
```
data_SrTcF6
_cell_length_a 5.2191
_cell_length_b 5.2191
_cell_length_c 15.5146
_cell_angle_alpha 90.00
_cell_angle_beta 90.00
_cell_angle_gamma 120.00
_space_group_name_H-M_alt 'R -3 m'
_space_group_IT_number 166
_space_group_name_Hall '-R 3 2"'
loop_
_atom_site_label
_atom_site_fract_x
_atom_site_fract_y
_atom_site_fract_z
Sr1 0.0000 0.0000 0.0000
Tc1 0.0000 0.0000 0.5000
F1 0.0016 0.5008 0.9131
```

***

- Among the records above, which one has the highest total magnetic moment?
  number 5

***

- The lowest uncorrected formation energy belongs to which entry?
  SrTbF5